Entry from Alexandria via LeMat-Bulk: a relaxed structure of Pr6SiRh2I3 (PBE-GGA).

```
Pr6SiRh2I3
1.0
3.7142 -6.4324 0.0000
3.7142 6.4324 0.0000
-2.4836 0.0000 8.0568
Pr Si Rh I
6 1 2 3
direct
0.0937 0.4378 0.8097
0.2188 0.2188 0.1895
0.4378 0.0937 0.8097
0.5622 0.9063 0.1903
0.7812 0.7812 0.8105
0.9063 0.5622 0.1903
0.5000 0.5000 0.0000
0.1670 0.8330 0.0000
0.8330 0.1670 0.0000
0.0000 0.0000 0.5000
0.3375 0.6625 0.5000
0.6625 0.3375 0.5000
```

Properties
Space group: C2/m (12)
Energy relative to the elements, uncorrected, eV/atom: -0.8765

Entry from Alexandria via LeMat-Bulk: a relaxed structure of ErCr2Fe10 (PBE-GGA).

```
ErCr2Fe10
1.0
-2.3311 4.1567 4.2036
2.3311 -4.1567 4.2036
2.3311 4.1567 -4.2036
Er Cr Fe
1 2 10
direct
0.0000 0.0000 0.0000
0.3683 0.3683 0.0000
0.6317 0.6317 0.0000
0.0000 0.0000 0.5000
0.0000 0.5000 0.0000
0.2226 0.5000 0.7226
0.2289 0.7289 0.5000
0.3580 0.0000 0.3580
0.5000 0.0000 0.0000
0.5000 0.5000 0.5000
0.6420 0.0000 0.6420
0.7711 0.2711 0.5000
0.7774 0.5000 0.2774
```

Properties
Space group: Immm (71)
Calculated formation energy, meV per atom: -8

Entry from Alexandria via LeMat-Bulk: a relaxed structure of GaNi2Ge2 (PBE-GGA).

```
GaNi2Ge2
1.0
4.1126 0.0000 0.0000
0.0000 4.1948 0.0000
-0.0017 0.0000 8.4286
Ga Ni Ge
2 4 4
direct
0.2492 0.2500 0.3241
0.7508 0.7500 0.6759
0.2499 0.7500 0.1628
0.2510 0.7500 0.4955
0.7490 0.2500 0.5045
0.7501 0.2500 0.8372
0.2502 0.2500 0.0036
0.2498 0.2500 0.6694
0.7502 0.7500 0.3306
0.7498 0.7500 0.9964
```

Properties
E above lowest polymorph, meV per atom: 0
Space group: P2_1/m (11)
Calculated formation energy, meV per atom: -219

Entry from Alexandria via LeMat-Bulk: a relaxed structure of Mn2Be2Al (PBE-GGA).

```
Mn2Be2Al
1.0
6.1990 0.0000 0.0000
0.0000 6.1990 0.0000
0.0000 0.0000 2.8486
Mn Be Al
4 4 2
direct
0.1196 0.3804 0.0000
0.3804 0.8804 0.0000
0.6196 0.1196 0.0000
0.8804 0.6196 0.0000
0.1736 0.6736 0.5000
0.3264 0.1736 0.5000
0.6736 0.8264 0.5000
0.8264 0.3264 0.5000
0.0000 0.0000 0.0000
0.5000 0.5000 0.0000
```

Properties
E above lowest polymorph, meV per atom: 297
Space group: P4/mbm (127)
Calculated formation energy, meV per atom: 108

Entry from Alexandria via LeMat-Bulk: a relaxed structure of TaZn4Fe (PBE-GGA).

```
TaZn4Fe
1.0
4.9459 -2.6539 0.0000
4.9459 2.6539 0.0000
-1.6455 0.0000 6.6138
Ta Zn Fe
2 8 2
direct
0.1637 0.1637 0.3457
0.8363 0.8363 0.6543
0.1616 0.6514 0.3336
0.2491 0.7509 0.0000
0.2576 0.2576 0.9852
0.3486 0.8384 0.6664
0.6514 0.1616 0.3336
0.7424 0.7424 0.0148
0.7509 0.2491 0.0000
0.8384 0.3486 0.6664
0.3515 0.3515 0.6681
0.6485 0.6485 0.3319
```

Properties
E above lowest polymorph, meV per atom: 0
Space group: C2/m (12)
Calculated formation energy, meV per atom: 41

Entry from Alexandria via LeMat-Bulk: a relaxed structure of KSiAg (PBE-GGA).

```
KSiAg
1.0
-2.2983 2.2983 7.4790
2.2983 -2.2983 7.4790
2.2983 2.2983 -7.4790
K Si Ag
2 2 2
direct
0.1753 0.1753 0.0000
0.8247 0.8247 0.0000
0.4145 0.4145 0.0000
0.5855 0.5855 0.0000
0.0000 0.5000 0.5000
0.5000 0.0000 0.5000
```

Properties
E above lowest polymorph, meV per atom: 0
Space group: I4/mmm (139)
Energy relative to the elements, uncorrected, eV/atom: -0.0073

Entry from Alexandria via LeMat-Bulk: a relaxed structure of NaSn3Mo (PBE-GGA).

```
NaSn3Mo
1.0
5.3098 0.0000 0.0000
0.0000 5.3098 0.0000
0.0000 0.0000 5.3098
Na Sn Mo
1 3 1
direct
0.0000 0.0000 0.0000
0.0000 0.5000 0.5000
0.5000 0.0000 0.5000
0.5000 0.5000 0.0000
0.5000 0.5000 0.5000
```

Properties
E above lowest polymorph, meV per atom: 0
Space group: Pm-3m (221)
Calculated formation energy, meV per atom: 151

Entry from Alexandria via LeMat-Bulk: a relaxed structure of Sm3AgN (PBE-GGA).

```
Sm3AgN
1.0
-3.5044 4.8460 3.4785
3.5044 -4.8460 3.4785
3.5044 4.8460 -3.4785
Sm Ag N
6 2 2
direct
0.2042 0.0000 0.7042
0.2042 0.5000 0.2042
0.3389 0.0889 0.2500
0.6611 0.9111 0.7500
0.7958 0.0000 0.2958
0.7958 0.5000 0.7958
0.2377 0.4877 0.7500
0.7623 0.5123 0.2500
0.0000 0.0000 0.0000
0.5000 0.0000 0.5000
```

Properties
E above lowest polymorph, meV per atom: 0
Space group: Imma (74)
Energy relative to the elements, uncorrected, eV/atom: -0.7053

Entry from Alexandria via LeMat-Bulk: a relaxed structure of LaMnSi (PBE-GGA).

```
LaMnSi
1.0
-1.6689 1.6689 5.3928
1.6689 -1.6689 5.3928
1.6689 1.6689 -5.3928
La Mn Si
1 1 1
direct
0.0000 0.0000 0.0000
0.7128 0.7128 0.0000
0.2849 0.2849 0.0000
```

Properties
Space group: I4mm (107)
Energy relative to the elements, uncorrected, eV/atom: -0.1193

Number 1: M_tot 0.00 μB per formula unit, DOS(E_F) 0.79 states/eV/atom. Number 2: M_tot 17.18 μB per formula unit, DOS(E_F) 0.97 states/eV/atom. Number 3: M_tot 0.00 μB per formula unit, DOS(E_F) 0.41 states/eV/atom. Number 4: M_tot 1.00 μB per formula unit, DOS(E_F) 0.94 states/eV/atom. Number 5: M_tot 1.26 μB per formula unit, DOS(E_F) 0.56 states/eV/atom. Number 6: M_tot 0.00 μB per formula unit, DOS(E_F) 0.16 states/eV/atom. Number 7: M_tot 0.00 μB per formula unit, DOS(E_F) 0.57 states/eV/atom. Number 8: M_tot 0.00 μB per formula unit, DOS(E_F) 0.83 states/eV/atom. Number 9: M_tot 2.21 μB per formula unit, DOS(E_F) 1.01 states/eV/atom.